DFT (PBE) results for TmLuNb after structural relaxation.

CIF file:
```
data_TmLuNb
_cell_length_a 3.212
_cell_length_b 3.212
_cell_length_c 7.691
_cell_angle_alpha 102.05
_cell_angle_beta 102.05
_cell_angle_gamma 90.00
_symmetry_space_group_name_H-M 'P 1'
_symmetry_Int_Tables_number 1
loop_
_symmetry_equiv_pos_as_xyz
'x,y,z'
loop_
_atom_site_label
_atom_site_type_symbol
_atom_site_fract_x
_atom_site_fract_y
_atom_site_fract_z
Nb1 Nb 0.666 0.666 0.332
Lu1 Lu 0.019 0.019 0.037
Tm1 Tm 0.316 0.316 0.631
```

E_tot, eV/f.u.: -18.4

DFT (PBE) results for LuNbV4 after structural relaxation.

CIF file:
```
data_LuNbV4
_cell_length_a 5.176
_cell_length_b 5.176
_cell_length_c 5.176
_cell_angle_alpha 60.00
_cell_angle_beta 60.00
_cell_angle_gamma 60.00
_symmetry_space_group_name_H-M 'P 1'
_symmetry_Int_Tables_number 1
loop_
_symmetry_equiv_pos_as_xyz
'x,y,z'
loop_
_atom_site_label
_atom_site_type_symbol
_atom_site_fract_x
_atom_site_fract_y
_atom_site_fract_z
Nb1 Nb 0.250 0.250 0.250
Lu1 Lu 0.000 0.000 0.000
V1 V 0.625 0.625 0.124
V2 V 0.625 0.124 0.625
V3 V 0.625 0.625 0.625
V4 V 0.124 0.625 0.625
```

E_tot, eV/f.u.: -50.0

DFT (PBE) results for LuNbZn2 after structural relaxation.

CIF file:
```
data_LuNbZn2
_cell_length_a 3.795
_cell_length_b 4.401
_cell_length_c 4.401
_cell_angle_alpha 90.00
_cell_angle_beta 90.00
_cell_angle_gamma 90.00
_symmetry_space_group_name_H-M 'P 1'
_symmetry_Int_Tables_number 1
loop_
_symmetry_equiv_pos_as_xyz
'x,y,z'
loop_
_atom_site_label
_atom_site_type_symbol
_atom_site_fract_x
_atom_site_fract_y
_atom_site_fract_z
Nb1 Nb 0.500 0.500 0.500
Lu1 Lu 0.500 0.000 0.000
Zn1 Zn 0.000 0.000 0.500
Zn2 Zn 0.000 0.500 0.000
```

Energy relative to the lowest polymorph listed for this composition, eV/atom: 0.017
E_tot, eV/f.u.: -17.4

DFT (PBE) results for LuNbZn2 after structural relaxation.

CIF file:
```
data_LuNbZn2
_cell_length_a 3.304
_cell_length_b 3.304
_cell_length_c 6.746
_cell_angle_alpha 90.00
_cell_angle_beta 90.00
_cell_angle_gamma 90.00
_symmetry_space_group_name_H-M 'P 1'
_symmetry_Int_Tables_number 1
loop_
_symmetry_equiv_pos_as_xyz
'x,y,z'
loop_
_atom_site_label
_atom_site_type_symbol
_atom_site_fract_x
_atom_site_fract_y
_atom_site_fract_z
Nb1 Nb 0.500 0.500 0.000
Lu1 Lu 0.500 0.500 0.500
Zn1 Zn 0.000 0.000 0.768
Zn2 Zn 0.000 0.000 0.232
```

Energy relative to the lowest polymorph listed for this composition, eV/atom: 0.000
E_tot, eV/f.u.: -17.5

DFT (PBE) results for LuNbZn4 after structural relaxation.

CIF file:
```
data_LuNbZn4
_cell_length_a 5.225
_cell_length_b 5.225
_cell_length_c 5.225
_cell_angle_alpha 60.00
_cell_angle_beta 60.00
_cell_angle_gamma 60.00
_symmetry_space_group_name_H-M 'P 1'
_symmetry_Int_Tables_number 1
loop_
_symmetry_equiv_pos_as_xyz
'x,y,z'
loop_
_atom_site_label
_atom_site_type_symbol
_atom_site_fract_x
_atom_site_fract_y
_atom_site_fract_z
Nb1 Nb 0.000 0.000 0.000
Lu1 Lu 0.250 0.250 0.250
Zn1 Zn 0.626 0.626 0.122
Zn2 Zn 0.626 0.122 0.626
Zn3 Zn 0.626 0.626 0.626
Zn4 Zn 0.122 0.626 0.626
```

E_tot, eV/f.u.: -20.7

DFT (PBE) results for LuZr2Nb after structural relaxation.

CIF file:
```
data_LuZr2Nb
_cell_length_a 5.033
_cell_length_b 5.033
_cell_length_c 5.033
_cell_angle_alpha 60.00
_cell_angle_beta 60.00
_cell_angle_gamma 60.00
_symmetry_space_group_name_H-M 'P 1'
_symmetry_Int_Tables_number 1
loop_
_symmetry_equiv_pos_as_xyz
'x,y,z'
loop_
_atom_site_label
_atom_site_type_symbol
_atom_site_fract_x
_atom_site_fract_y
_atom_site_fract_z
Nb1 Nb 0.500 0.500 0.500
Lu1 Lu 0.000 0.000 0.000
Zr1 Zr 0.250 0.250 0.250
Zr2 Zr 0.750 0.750 0.750
```

Energy relative to the lowest polymorph listed for this composition, eV/atom: 0.089
E_tot, eV/f.u.: -31.0

DFT (PBE) results for LuZr2Nb after structural relaxation.

CIF file:
```
data_LuZr2Nb
_cell_length_a 3.586
_cell_length_b 3.586
_cell_length_c 7.242
_cell_angle_alpha 90.00
_cell_angle_beta 90.00
_cell_angle_gamma 90.00
_symmetry_space_group_name_H-M 'P 1'
_symmetry_Int_Tables_number 1
loop_
_symmetry_equiv_pos_as_xyz
'x,y,z'
loop_
_atom_site_label
_atom_site_type_symbol
_atom_site_fract_x
_atom_site_fract_y
_atom_site_fract_z
Nb1 Nb 0.500 0.500 0.000
Lu1 Lu 0.500 0.500 0.500
Zr1 Zr 0.000 0.000 0.792
Zr2 Zr 0.000 0.000 0.208
```

Energy relative to the lowest polymorph listed for this composition, eV/atom: 0.000
E_tot, eV/f.u.: -31.4

DFT (PBE) results for Nd5Lu after structural relaxation.

CIF file:
```
data_Nd5Lu
_cell_length_a 5.144
_cell_length_b 5.157
_cell_length_c 8.159
_cell_angle_alpha 108.42
_cell_angle_beta 90.00
_cell_angle_gamma 90.00
_symmetry_space_group_name_H-M 'P 1'
_symmetry_Int_Tables_number 1
loop_
_symmetry_equiv_pos_as_xyz
'x,y,z'
loop_
_atom_site_label
_atom_site_type_symbol
_atom_site_fract_x
_atom_site_fract_y
_atom_site_fract_z
Lu1 Lu 0.000 0.000 0.000
Nd1 Nd 0.000 0.665 0.330
Nd2 Nd 0.000 0.335 0.670
Nd3 Nd 0.500 0.500 0.000
Nd4 Nd 0.500 0.166 0.331
Nd5 Nd 0.500 0.834 0.669
```

E_tot, eV/f.u.: -28.3

DFT (PBE) results for NdLuNi4 after structural relaxation.

CIF file:
```
data_NdLuNi4
_cell_length_a 5.088
_cell_length_b 5.088
_cell_length_c 5.088
_cell_angle_alpha 60.00
_cell_angle_beta 60.00
_cell_angle_gamma 60.00
_symmetry_space_group_name_H-M 'P 1'
_symmetry_Int_Tables_number 1
loop_
_symmetry_equiv_pos_as_xyz
'x,y,z'
loop_
_atom_site_label
_atom_site_type_symbol
_atom_site_fract_x
_atom_site_fract_y
_atom_site_fract_z
Ni1 Ni 0.626 0.626 0.121
Ni2 Ni 0.626 0.121 0.626
Ni3 Ni 0.626 0.626 0.626
Ni4 Ni 0.121 0.626 0.626
Lu1 Lu 0.000 0.000 0.000
Nd1 Nd 0.250 0.250 0.250
```

E_tot, eV/f.u.: -34.9

DFT (PBE) results for NdLuNi after structural relaxation.

CIF file:
```
data_NdLuNi
_cell_length_a 4.771
_cell_length_b 4.771
_cell_length_c 4.771
_cell_angle_alpha 60.00
_cell_angle_beta 60.00
_cell_angle_gamma 60.00
_symmetry_space_group_name_H-M 'P 1'
_symmetry_Int_Tables_number 1
loop_
_symmetry_equiv_pos_as_xyz
'x,y,z'
loop_
_atom_site_label
_atom_site_type_symbol
_atom_site_fract_x
_atom_site_fract_y
_atom_site_fract_z
Ni1 Ni 0.250 0.250 0.250
Lu1 Lu 0.500 0.500 0.500
Nd1 Nd 0.000 0.000 0.000
```

Energy relative to the lowest polymorph listed for this composition, eV/atom: 0.081
E_tot, eV/f.u.: -15.5

DFT (PBE) results for Nd2LuNi after structural relaxation.

CIF file:
```
data_Nd2LuNi
_cell_length_a 3.579
_cell_length_b 3.579
_cell_length_c 8.486
_cell_angle_alpha 90.00
_cell_angle_beta 90.00
_cell_angle_gamma 90.00
_symmetry_space_group_name_H-M 'P 1'
_symmetry_Int_Tables_number 1
loop_
_symmetry_equiv_pos_as_xyz
'x,y,z'
loop_
_atom_site_label
_atom_site_type_symbol
_atom_site_fract_x
_atom_site_fract_y
_atom_site_fract_z
Ni1 Ni 0.500 0.500 0.000
Lu1 Lu 0.500 0.500 0.500
Nd1 Nd 0.000 0.000 0.804
Nd2 Nd 0.000 0.000 0.196
```

E_tot, eV/f.u.: -20.1

DFT (PBE) results for NdLuNi after structural relaxation.

CIF file:
```
data_NdLuNi
_cell_length_a 4.199
_cell_length_b 4.503
_cell_length_c 4.503
_cell_angle_alpha 120.00
_cell_angle_beta 90.00
_cell_angle_gamma 90.00
_symmetry_space_group_name_H-M 'P 1'
_symmetry_Int_Tables_number 1
loop_
_symmetry_equiv_pos_as_xyz
'x,y,z'
loop_
_atom_site_label
_atom_site_type_symbol
_atom_site_fract_x
_atom_site_fract_y
_atom_site_fract_z
Ni1 Ni 0.063 0.000 0.000
Lu1 Lu 0.221 0.333 0.667
Nd1 Nd 0.715 0.667 0.333
```

Energy relative to the lowest polymorph listed for this composition, eV/atom: 0.143
E_tot, eV/f.u.: -15.3

DFT (PBE) results for Nd3LuNi after structural relaxation.

CIF file:
```
data_Nd3LuNi
_cell_length_a 5.453
_cell_length_b 5.453
_cell_length_c 5.453
_cell_angle_alpha 90.00
_cell_angle_beta 90.00
_cell_angle_gamma 90.00
_symmetry_space_group_name_H-M 'P 1'
_symmetry_Int_Tables_number 1
loop_
_symmetry_equiv_pos_as_xyz
'x,y,z'
loop_
_atom_site_label
_atom_site_type_symbol
_atom_site_fract_x
_atom_site_fract_y
_atom_site_fract_z
Ni1 Ni 0.000 0.000 0.000
Lu1 Lu 0.500 0.500 0.500
Nd1 Nd 0.000 0.500 0.000
Nd2 Nd 0.000 0.000 0.500
Nd3 Nd 0.500 0.000 0.000
```

E_tot, eV/f.u.: -24.2

DFT (PBE) results for NdLuNi after structural relaxation.

CIF file:
```
data_NdLuNi
_cell_length_a 3.420
_cell_length_b 3.420
_cell_length_c 6.667
_cell_angle_alpha 104.86
_cell_angle_beta 104.86
_cell_angle_gamma 90.00
_symmetry_space_group_name_H-M 'P 1'
_symmetry_Int_Tables_number 1
loop_
_symmetry_equiv_pos_as_xyz
'x,y,z'
loop_
_atom_site_label
_atom_site_type_symbol
_atom_site_fract_x
_atom_site_fract_y
_atom_site_fract_z
Ni1 Ni 0.679 0.679 0.357
Lu1 Lu 0.293 0.293 0.586
Nd1 Nd 0.028 0.028 0.056
```

Energy relative to the lowest polymorph listed for this composition, eV/atom: 0.000
E_tot, eV/f.u.: -15.7